MgAl8Cu4 after structural relaxation, computed with PBE.

```
13
Lattice="4.6972 0.0000 1.8881 2.3486 6.2477 0.9440 0.0185 0.0000 6.7410" Properties=species:S:1:pos:R:3 pbc="T T T"
Mg 0.0000 0.0000 0.0000
Al 0.8262 2.1657 4.7315
Al 1.5409 4.0820 2.9535
Al 3.1749 4.0820 5.6755
Al 3.8895 2.1657 3.8976
Al 4.1915 4.8916 3.1463
Al 2.8729 1.3561 6.4268
Al 1.8429 1.3561 2.2023
Al 5.2215 4.8916 7.3708
Cu 0.0093 0.0000 3.3705
Cu 2.3579 0.0000 4.3145
Cu 1.1743 3.1239 0.4720
Cu 3.5229 3.1239 1.4161
```

Computed properties:
Space-group type: I4/mmm
Energy of formation, eV per atom: -0.14
DFT total energy, eV per cell: -49.753